TaCuRu2 after structural relaxation. Source: Alexandria via LeMat-Bulk, functional PBE-GGA.

Lattice parameters (Å, degrees): 8.8892 8.8892 8.8892 18.15 18.15 18.15
Positions (direct):
1 Cu 0.7500 0.7500 0.7500
2 Ta 0.2500 0.2500 0.2500
3 Ru 0.4981 0.4981 0.4981
4 Ru 0.0019 0.0019 0.0019

Crystal system ... trigonal
ΔE_f ... 0.1432 eV per atom
Calculated density ... 12.466 g cm⁻³
D(E_F) ... 3.388 states/eV/cell
Total magnetic moment ... 0.00 μB per atom
E_tot ... -33.93 eV per formula unit

***

SrCoIrN2 after structural relaxation. Source: Alexandria via LeMat-Bulk, functional PBE-GGA.

Lattice parameters (Å, degrees): 3.9433 4.6988 3.9433 90.00 90.00 90.00
Positions (direct):
1 N 0.5000 0.0000 0.0000
2 N 0.0000 0.0000 0.5000
3 Ir 0.0000 0.0000 0.0000
4 Co 0.0000 0.5000 0.0000
5 Sr 0.5000 0.5000 0.5000

Crystal system ... tetragonal
Formation energy without anion corrections ... 685 meV per atom
Calculated density ... 8.336 g cm⁻³
D(E_F) ... 4.210 states/eV/cell
Total magnetic moment ... 0.00 μB per atom
E_tot ... -30.88 eV per formula unit

***

Li2MoOs after structural relaxation. Source: Alexandria via LeMat-Bulk, functional PBE-GGA.

Lattice parameters (Å, degrees): 4.6816 2.5455 4.9557 80.66 90.00 90.00
Positions (direct):
1 Mo 0.5000 0.2500 0.2500
2 Li 0.0000 0.9668 0.9901
3 Li 0.0000 0.5332 0.5099
4 Os 0.5000 0.7500 0.7500

Crystal system ... monoclinic
Energy above the lowest structure with this stoichiometry ... 139.3 meV per atom
ΔE_f ... 0.2874 eV per atom
Calculated density ... 8.550 g cm⁻³
D(E_F) ... 2.848 states/eV/cell
Total magnetic moment ... 0.00 μB per atom
E_tot ... -24.74 eV per formula unit

***

PrEu2Br after structural relaxation. Source: Alexandria via LeMat-Bulk, functional PBE-GGA.

Lattice parameters (Å, degrees): 3.6939 3.6939 10.2688 90.00 90.00 90.00
Each line ends with the local moment (μB).
Positions (direct):
1 Eu 0.0000 0.0000 0.7815  6.99
2 Eu 0.0000 0.0000 0.2185  6.99
3 Pr 0.5000 0.5000 0.5000  0.01
4 Br 0.5000 0.5000 0.0000  -0.02

Crystal system ... tetragonal
Energy above the lowest structure with this stoichiometry ... 72.5 meV per atom
Formation energy without anion corrections ... -614 meV per atom
Calculated density ... 6.219 g cm⁻³
D(E_F) ... 11.976 states/eV/cell
Total magnetic moment ... 3.66 μB per atom
E_tot ... -29.46 eV per formula unit

***

MgTc2Os after structural relaxation. Source: Alexandria via LeMat-Bulk, functional PBE-GGA.

Lattice parameters (Å, degrees): 4.0659 3.8372 3.8372 90.00 90.00 90.00
Each line ends with the local moment (μB).
Positions (direct):
1 Tc 0.0000 0.5000 0.5000  0.12
2 Tc 0.0000 0.0000 0.0000  0.12
3 Mg 0.5000 0.5000 0.0000  0.00
4 Os 0.5000 0.0000 0.5000  0.00

Crystal system ... tetragonal
ΔE_f ... 0.4037 eV per atom
Calculated density ... 11.387 g cm⁻³
D(E_F) ... 5.016 states/eV/cell
Total magnetic moment ... 0.07 μB per atom
E_tot ... -31.94 eV per formula unit

***

LiZrTl2Cl6 after structural relaxation. Source: Alexandria via LeMat-Bulk, functional PBE-GGA.

Lattice parameters (Å, degrees): 7.2810 7.2810 12.7079 73.35 73.35 60.00
Each line ends with the local moment (μB).
Positions (direct):
1 Cl 0.1298 0.6238 0.6227  0.00
2 Cl 0.2949 0.7927 0.1197  0.00
3 Cl 0.7927 0.7927 0.1197  0.00
4 Cl 0.8702 0.3762 0.3773  0.00
5 Cl 0.7927 0.2949 0.1197  0.00
6 Cl 0.2073 0.7051 0.8803  0.00
7 Cl 0.2073 0.2073 0.8803  0.00
8 Cl 0.3762 0.8702 0.3773  0.00
9 Cl 0.7051 0.2073 0.8803  0.00
10 Cl 0.6238 0.1298 0.6227  0.00
11 Cl 0.3762 0.3762 0.3773  0.00
12 Cl 0.6238 0.6238 0.6227  0.00
13 Li 0.4127 0.4127 0.7620  0.00
14 Li 0.5873 0.5873 0.2380  0.00
15 Tl 0.8647 0.8647 0.4058  0.01
16 Tl 0.2999 0.2999 0.1004  0.01
17 Tl 0.7001 0.7001 0.8996  0.01
18 Tl 0.1353 0.1353 0.5942  0.01
19 Zr 0.5000 0.5000 0.5000  0.63
20 Zr 0.0000 0.0000 0.0000  0.70

Crystal system ... trigonal
Formation energy without anion corrections ... -1419 meV per atom
Calculated density ... 4.341 g cm⁻³
D(E_F) ... 9.285 states/eV/cell
Total magnetic moment ... 0.10 μB per atom
E_tot ... -40.46 eV per formula unit

***

Pm2SmDyHo4 after structural relaxation. Source: Alexandria via LeMat-Bulk, functional PBE-GGA.

Lattice parameters (Å, degrees): 9.5098 9.5098 11.8037 128.36 128.36 88.46
Each line ends with the local moment (μB).
Positions (direct):
1 Dy 0.0000 0.0000 0.0000  0.30
2 Dy 0.5000 0.5000 0.5000  0.30
3 Ho 0.2473 0.7523 0.0000  0.29
4 Ho 0.7507 0.7504 0.9980  0.31
5 Ho 0.2523 0.7473 0.5000  0.29
6 Ho 0.2493 0.2496 0.0020  0.31
7 Ho 0.7477 0.2527 0.5000  0.29
8 Ho 0.2504 0.2507 0.4980  0.31
9 Ho 0.7527 0.2477 0.0000  0.29
10 Ho 0.7496 0.7493 0.5020  0.31
11 Pm 0.5000 0.0000 0.5000  0.25
12 Pm 0.5000 0.5000 0.0000  0.25
13 Pm 0.5000 0.0000 0.0000  0.25
14 Pm 0.0000 0.0000 0.5000  0.25
15 Sm 0.0000 0.5000 0.0000  0.23
16 Sm 0.0000 0.5000 0.5000  0.23

Crystal system ... orthorhombic
ΔE_f ... 0.4247 eV per atom
Calculated density ... 7.862 g cm⁻³
D(E_F) ... 35.152 states/eV/cell
Total magnetic moment ... 0.40 μB per atom
E_tot ... -33.74 eV per formula unit

***

NaMgAl2Ga4 after structural relaxation. Source: Alexandria via LeMat-Bulk, functional PBE-GGA.

Lattice parameters (Å, degrees): 4.6186 4.6186 9.1650 75.41 75.41 60.00
Positions (direct):
1 Ga 0.1257 0.1257 0.6228
2 Ga 0.3924 0.3924 0.8227
3 Ga 0.8743 0.8743 0.3772
4 Ga 0.6076 0.6076 0.1773
5 Mg 0.5000 0.5000 0.5000
6 Na 0.0000 0.0000 0.0000
7 Al 0.7615 0.7615 0.7154
8 Al 0.2385 0.2385 0.2846

Crystal system ... trigonal
ΔE_f ... -0.0052 eV per atom
Calculated density ... 3.897 g cm⁻³
D(E_F) ... 2.465 states/eV/cell
Total magnetic moment ... 0.00 μB per atom
E_tot ... -22.55 eV per formula unit

***

ZrTaCoW after structural relaxation. Source: Alexandria via LeMat-Bulk, functional PBE-GGA.

Lattice parameters (Å, degrees): 4.5455 4.5455 4.5455 60.00 60.00 60.00
Positions (direct):
1 Zr 0.2500 0.2500 0.2500
2 Ta 0.7500 0.7500 0.7500
3 Co 0.5000 0.5000 0.5000
4 W 0.0000 0.0000 0.0000

Crystal system ... cubic
ΔE_f ... -0.0463 eV per atom
Calculated density ... 12.876 g cm⁻³
D(E_F) ... 1.258 states/eV/cell
Total magnetic moment ... 0.00 μB per atom
E_tot ... -40.65 eV per formula unit

***

KSr2F after structural relaxation. Source: Alexandria via LeMat-Bulk, functional PBE-GGA.

Lattice parameters (Å, degrees): 6.3712 6.3712 6.3712 60.00 60.00 60.00
Positions (direct):
1 Sr 0.2500 0.2500 0.2500
2 Sr 0.7500 0.7500 0.7500
3 K 0.5000 0.5000 0.5000
4 F 0.0000 0.0000 0.0000

Crystal system ... cubic
Energy above the lowest structure with this stoichiometry ... 856.6 meV per atom
Formation energy without anion corrections ... -446 meV per atom
Calculated density ... 2.119 g cm⁻³
D(E_F) ... 2.802 states/eV/cell
Total magnetic moment ... 0.00 μB per atom
E_tot ... -8.11 eV per formula unit

***

LiNbCd after structural relaxation. Source: Alexandria via LeMat-Bulk, functional PBE-GGA.

Lattice parameters (Å, degrees): 2.7763 7.5114 5.4942 86.42 91.59 82.05
Positions (direct):
1 Cd 0.7497 0.8089 0.9377
2 Cd 0.2503 0.1911 0.0623
3 Nb 0.7798 0.1521 0.5609
4 Nb 0.2202 0.8479 0.4391
5 Li 0.6887 0.5008 0.2601
6 Li 0.3113 0.4992 0.7399

Crystal system ... triclinic
Energy above the lowest structure with this stoichiometry ... 108.1 meV per atom
ΔE_f ... 0.1415 eV per atom
Calculated density ... 6.229 g cm⁻³
D(E_F) ... 2.635 states/eV/cell
Total magnetic moment ... 0.00 μB per atom
E_tot ... -12.47 eV per formula unit